Computed, not measured: a relaxed structure of YInSe2 at the PBE-GGA level of DFT.

Cell lengths 8.6473, 8.6473, 8.6473 Å; angles 155.25, 153.43, 36.63 degrees
Closest atoms and distances in Å follow each position.
Fractional positions:
Y 0.5512 0.5512 0.0000  6 Se 2.85-2.92
In 0.2794 0.7794 0.5000  4 Se 3.14
Se 0.9862 0.9862 0.0000  4 Y 2.92
Se 0.6832 0.1832 0.5000  2 Y 2.85, 4 In 3.14

## Properties
* SG: Imm2
* crystal system: orthorhombic
* formation energy (no corrections): -1.185 eV/atom
* VASP energy: -5.227 eV/atom



Computed, not measured: a relaxed structure of Ca4MgNi at the PBE-GGA level of DFT.

Cell lengths 6.5831, 6.5831, 6.5831 Å; angles 60.00, 60.00, 60.00 degrees
Closest atoms and distances in Å follow each position.
Fractional positions:
Ca 0.6245 0.6245 0.1264  6 Ca 3.28-3.30
Ca 0.6245 0.6245 0.6245  6 Ca 3.28-3.30
Ca 0.1264 0.6245 0.6245  6 Ca 3.28-3.30
Ca 0.6245 0.1264 0.6245  6 Ca 3.28-3.30
Mg 0.0000 0.0000 0.0000  12 Ca 3.86, 4 Ni 4.03
Ni 0.2500 0.2500 0.2500  12 Ca 3.86, 4 Mg 4.03

## Properties
* SG: F-43m
* crystal system: cubic
* VASP energy: -1.912 eV/atom



Computed, not measured: a relaxed structure of LiAl4Sn at the PBE-GGA level of DFT.

Cell lengths 5.4881, 5.4881, 5.4881 Å; angles 60.00, 60.00, 60.00 degrees
Closest atoms and distances in Å follow each position.
Fractional positions:
Al 0.6240 0.6240 0.1279  6 Al 2.72-2.77
Al 0.1279 0.6240 0.6240  6 Al 2.72-2.77
Al 0.6240 0.6240 0.6240  6 Al 2.72-2.77
Al 0.6240 0.1279 0.6240  6 Al 2.72-2.77
Sn 0.0000 0.0000 0.0000  12 Al 3.22, 4 Li 3.36
Li 0.2500 0.2500 0.2500  12 Al 3.22, 4 Sn 3.36

## Properties
* SG: F-43m
* crystal system: cubic
* VASP energy: -3.439 eV/atom